No. 1
Computed, not measured: a relaxed La3TiIr crystal at the GGA-PBEsol level of DFT.

Lattice parameters (Å, degrees): 5.527 5.527 5.527 90.00 90.00 90.00
Fractional coordinates of all 5 atoms:
La  0.000  0.000  0.500
La  0.000  0.500  0.000
La  0.500  0.000  0.000
Ti  0.500  0.500  0.500
Ir  0.000  0.000  0.000

ΔH_f (0 K), eV/atom: 0.1807
M_tot, μB per atom: 0.61
Fermi-level density of states, states/eV/atom: 1.4909
Uncorrected energy, eV per atom: -6.66


No. 2
Computed, not measured: a relaxed TiP2SeCl crystal at the GGA-PBEsol level of DFT.

Lattice parameters (Å, degrees): 4.690 4.690 4.686 90.00 90.00 90.00
Fractional coordinates of all 5 atoms:
Ti  0.000  0.000  0.000
P  0.000  0.500  0.500
P  0.500  0.000  0.500
Se  0.500  0.500  0.500
Cl  0.500  0.500  0.000

M_tot, μB per atom: 0.23
Fermi-level density of states, states/eV/atom: 1.0912
Raw formation energy, kJ/mol of atoms: 74.7
Uncorrected energy, eV per atom: -4.38


No. 3
Computed, not measured: a relaxed TaVO4 crystal at the GGA-PBEsol level of DFT.

Lattice parameters (Å, degrees): 4.671 4.671 2.995 90.00 90.00 90.90
Fractional coordinates of all 6 atoms:
Ta  0.000  0.000  0.000
V  0.500  0.500  0.500
O  0.199  0.801  0.500
O  0.303  0.303  0.000
O  0.697  0.697  0.000
O  0.801  0.199  0.500

M_tot, μB per atom: 0.32
Fermi-level density of states, states/eV/atom: 0.5655
Raw formation energy, kJ/mol of atoms: -248.9
Uncorrected energy, eV per atom: -9.78


No. 4
Computed, not measured: a relaxed AlAuBr3 crystal at the GGA-PBEsol level of DFT.

Lattice parameters (Å, degrees): 5.217 5.217 5.217 90.00 90.00 90.00
Fractional coordinates of all 5 atoms:
Al  0.000  0.000  0.000
Au  0.500  0.500  0.500
Br  0.000  0.500  0.500
Br  0.500  0.000  0.500
Br  0.500  0.500  0.000

M_tot, μB per atom: 0.00
Fermi-level density of states, states/eV/atom: 0.2199
Raw formation energy, kJ/mol of atoms: -1.8
Uncorrected energy, eV per atom: -2.74